Entry 1:
La4Sb2C GGA-PBE relaxed; electronic total energy = -42.491 eV per formula unit; relative energy among the computed polymorphs = 0 meV per atom; space-group type = I4/mmm, No. 139; M_tot = 0.000 μB/atom; formation energy (no corrections) = -759 meV/atom
1.0
-2.555 2.555 8.302
2.555 -2.555 8.302
2.555 2.555 -8.302
La Sb C
4 2 1
Cartesian
2.555 0.000 0.000
0.000 0.000 2.651
0.000 2.555 0.000
0.000 0.000 13.953
0.000 0.000 5.982
0.000 0.000 10.622
0.000 0.000 0.000


Entry 2:
La4Sb2C GGA-PBE relaxed; electronic total energy = -42.385 eV per formula unit; relative energy among the computed polymorphs = 15 meV per atom; space-group type = P2_1/m, No. 11; M_tot = 0.000 μB/atom; formation energy (no corrections) = -744 meV/atom
1.0
7.466 0.000 0.000
0.000 6.768 0.000
-2.932 0.000 8.791
La Sb C
8 4 2
Cartesian
-0.607 0.032 2.111
-0.607 3.352 2.111
1.383 5.076 5.033
2.761 5.076 1.172
1.772 1.692 7.619
3.150 1.692 3.758
5.140 3.416 6.680
5.140 6.736 6.680
0.057 1.692 4.916
1.842 1.692 0.562
2.691 5.076 8.229
4.476 5.076 3.875
0.877 5.076 2.708
3.657 1.692 6.083


Entry 3:
La6Sb2C GGA-PBE relaxed; electronic total energy = -52.176 eV per formula unit; relative energy among the computed polymorphs = 0 meV per atom; space-group type = Fm-3m, No. 225; M_tot = 0.117 μB/atom; formation energy (no corrections) = -571 meV/atom
1.0
0.000 5.081 5.081
5.081 0.000 5.081
5.081 5.081 0.000
La Sb C
6 2 1
Cartesian
5.081 5.081 2.514
5.081 2.514 5.081
7.649 5.081 5.081
2.514 5.081 5.081
5.081 7.649 5.081
5.081 5.081 7.649
2.541 2.541 2.541
7.622 7.622 7.622
0.000 0.000 0.000


Entry 4:
LaSbC3 GGA-PBE relaxed; electronic total energy = -23.494 eV per formula unit; relative energy among the computed polymorphs = 1053 meV per atom; space-group type = Pm-3m, No. 221; M_tot = 0.000 μB/atom; formation energy (no corrections) = 2645 meV/atom
1.0
4.506 0.000 0.000
0.000 4.506 0.000
0.000 0.000 4.506
La Sb C
1 1 3
Cartesian
0.000 0.000 0.000
2.253 2.253 2.253
0.000 0.000 2.253
0.000 2.253 0.000
2.253 0.000 0.000


Entry 5:
LaSc2SbC GGA-PBE relaxed; electronic total energy = -33.987 eV per formula unit; space-group type = P4/mmm, No. 123; M_tot = 0.000 μB/atom; formation energy (no corrections) = -610 meV/atom
1.0
4.622 0.000 0.000
0.000 4.622 0.000
0.000 0.000 5.191
La Sc Sb C
1 2 1 1
Cartesian
0.000 0.000 0.000
0.000 2.311 2.595
2.311 0.000 2.595
2.311 2.311 0.000
0.000 0.000 2.595


Entry 6:
LaSnSbC2 GGA-PBE relaxed; electronic total energy = -21.897 eV per formula unit; relative energy among the computed polymorphs = 492 meV per atom; space-group type = P4/mmm, No. 123; M_tot = 0.073 μB/atom; formation energy (no corrections) = 1921 meV/atom
1.0
4.553 0.000 0.000
0.000 4.553 0.000
0.000 0.000 6.418
La Sn Sb C
1 1 1 2
Cartesian
0.000 0.000 0.000
0.000 0.000 3.209
2.277 2.277 3.209
0.000 2.277 0.000
2.277 0.000 0.000


Entry 7:
LaSnSbC2 GGA-PBE relaxed; electronic total energy = -24.357 eV per formula unit; relative energy among the computed polymorphs = 0 meV per atom; space-group type = P4/mmm, No. 123; M_tot = 0.000 μB/atom; formation energy (no corrections) = 1429 meV/atom
1.0
4.483 0.000 0.000
0.000 4.483 0.000
0.000 0.000 5.726
La Sn Sb C
1 1 1 2
Cartesian
0.000 0.000 0.000
2.241 2.241 2.863
2.241 2.241 0.000
0.000 2.241 2.863
2.241 0.000 2.863


Entry 8:
SrLa2SbC GGA-PBE relaxed; electronic total energy = -27.293 eV per formula unit; relative energy among the computed polymorphs = 0 meV per atom; space-group type = P4/mmm, No. 123; M_tot = 0.000 μB/atom; formation energy (no corrections) = -482 meV/atom
1.0
5.175 0.000 0.000
0.000 5.175 0.000
0.000 0.000 5.340
Sr La Sb C
1 2 1 1
Cartesian
0.000 0.000 0.000
0.000 2.587 2.670
2.587 0.000 2.670
2.587 2.587 0.000
0.000 0.000 2.670


Entry 9:
LaSbTe2C GGA-PBE relaxed; electronic total energy = -23.554 eV per formula unit; relative energy among the computed polymorphs = 0 meV per atom; space-group type = P4/mmm, No. 123; M_tot = 0.000 μB/atom; formation energy (no corrections) = 201 meV/atom
1.0
4.972 0.000 0.000
0.000 4.972 0.000
0.000 0.000 4.887
La Sb Te C
1 1 2 1
Cartesian
0.000 0.000 0.000
2.486 2.486 0.000
0.000 2.486 2.443
2.486 0.000 2.443
2.486 2.486 2.443


Entry 10:
LaSb2TeC GGA-PBE relaxed; electronic total energy = -24.238 eV per formula unit; relative energy among the computed polymorphs = 0 meV per atom; space-group type = P4/mmm, No. 123; M_tot = 0.000 μB/atom; formation energy (no corrections) = 260 meV/atom
1.0
4.814 0.000 0.000
0.000 4.814 0.000
0.000 0.000 5.237
La Sb Te C
1 2 1 1
Cartesian
0.000 0.000 0.000
0.000 2.407 2.619
2.407 0.000 2.619
2.407 2.407 0.000
2.407 2.407 2.619


Entry 11:
LaSb2TeC GGA-PBE relaxed; electronic total energy = -16.956 eV per formula unit; relative energy among the computed polymorphs = 1456 meV per atom; space-group type = P4/mmm, No. 123; M_tot = 0.268 μB/atom; formation energy (no corrections) = 1716 meV/atom
1.0
6.187 0.000 0.000
0.000 6.187 0.000
0.000 0.000 6.058
La Sb Te C
1 2 1 1
Cartesian
0.000 0.000 0.000
0.000 3.093 0.000
3.093 0.000 0.000
0.000 0.000 3.029
3.093 3.093 3.029


Entry 12:
LaSbTe2C GGA-PBE relaxed; electronic total energy = -17.017 eV per formula unit; relative energy among the computed polymorphs = 1307 meV per atom; space-group type = P4/mmm, No. 123; M_tot = 0.120 μB/atom; formation energy (no corrections) = 1508 meV/atom
1.0
6.133 0.000 0.000
0.000 6.133 0.000
0.000 0.000 6.313
La Sb Te C
1 1 2 1
Cartesian
0.000 0.000 0.000
0.000 0.000 3.156
0.000 3.066 0.000
3.066 0.000 0.000
3.066 3.066 3.156